Below is CaHPt3 after structural relaxation, with properties calculated at the PBE level.

As for the electronic total energy: -2.8879 eV/atom. The calculation puts the magnetization at 0.178 μB/atom.

The space group is Pm-3m (No. 221) and the conventional cell measures 5.069, 5.069 and 5.069 Å, with angles of 90.00, 90.00 and 90.00 degrees. The distinct sites, in fractional coordinates, are Ca at (0.000, 0.000, 0.000), H at (0.500, 0.500, 0.500) and Pt at (0.000, 0.000, 0.500).

Below is SbOsCl4 after structural relaxation, with properties calculated at the PBE level.

The calculation puts the magnetization at 0.813 μB/atom. The formation energy without anion corrections comes out at 1.333 eV/atom.

The space group is F-43m (No. 216) and the conventional cell measures 8.126, 8.126 and 8.126 Å, with angles of 90.00, 90.00 and 90.00 degrees. The distinct sites, in fractional coordinates, are Sb at (0.000, 0.000, 0.000), Os at (0.250, 0.250, 0.250) and Cl at (0.124, 0.124, 0.624).

Below is YPa2NbN6 after structural relaxation, with properties calculated at the PBE level.

The calculation puts the magnetization at 0.000 μB/atom. The formation energy without anion corrections comes out at -1.417 eV/atom.

The space group is R3 (No. 146, hexagonal axes) and the conventional cell measures 5.8051, 5.8051 and 14.8855 Å, with angles of 90.00, 90.00 and 120.00 degrees. The distinct sites, in fractional coordinates, are Y at (0.0000, 0.0000, 0.0000), Pa at (0.0000, 0.0000, 0.2757), Pa at (0.0000, 0.0000, 0.7755), Nb at (0.0000, 0.0000, 0.4909), N at (0.0152, 0.7293, 0.3811) and N at (0.0441, 0.3427, 0.5437).

Below is VCdSi2Pb after structural relaxation, with properties calculated at the PBE level.

The calculation puts the magnetization at 0.000 μB/atom. The formation energy without anion corrections comes out at 0.467 eV/atom.

The space group is P4/mmm (No. 123) and the conventional cell measures 4.656, 4.656 and 5.220 Å, with angles of 90.00, 90.00 and 90.00 degrees. The distinct sites, in fractional coordinates, are V at (0.000, 0.000, 0.000), Cd at (0.000, 0.000, 0.500), Si at (0.000, 0.500, 0.000) and Pb at (0.500, 0.500, 0.500).

Below is CeBeGaNi6 after structural relaxation, with properties calculated at the PBE level.

The calculation puts the magnetization at 0.000 μB/atom. The calculation puts the energy relative to the elements at -87 meV/atom.

The space group is Imma (No. 74) and the conventional cell measures 6.100, 7.648 and 10.299 Å, with angles of 90.00, 90.00 and 90.00 degrees. The distinct sites, in fractional coordinates, are Ce at (0.000, 0.250, 0.210), Be at (0.000, 0.000, 0.000), Ga at (0.250, 0.250, 0.750), Ni at (0.000, 0.250, 0.491), Ni at (0.000, 0.250, 0.924) and Ni at (0.207, 0.002, 0.382).

Below is Hf2UCrC4 after structural relaxation, with properties calculated at the PBE level.

The calculation puts the magnetization at 0.172 μB/atom. The calculation puts the energy relative to the elements at -384 meV/atom.

The space group is Cmcm (No. 63) and the conventional cell measures 3.257, 11.267 and 11.200 Å, with angles of 90.00, 90.00 and 90.00 degrees. The distinct sites, in fractional coordinates, are Hf at (0.000, 0.130, 0.044), U at (0.000, 0.399, 0.250), Cr at (0.000, 0.337, 0.750), C at (0.000, 0.062, 0.250), C at (0.000, 0.234, 0.624) and C at (0.000, 0.500, 0.000).